# 1
# Pm2Al4Zn3Hg PBE-GGA optimized geometry
# - calculated formation energy (eV/f.u.) = -3.9
# - M_tot (μB per formula unit) = 0.00
# - raw total energy (eV per atom) = -3.248
data_Pm2Al4Zn3Hg
_chemical_formula_sum 'Pm2 Al4 Zn3 Hg1'
_cell_length_a 4.287
_cell_length_b 4.287
_cell_length_c 10.851
_cell_angle_alpha 90.00
_cell_angle_beta 90.00
_cell_angle_gamma 90.00
_symmetry_space_group_name_H-M 'P -4 m 2'
_symmetry_Int_Tables_number 115
loop_
_symmetry_equiv_pos_as_xyz
'x,y,z'
'y,-x,-z'
'-x,-y,z'
'-y,x,-z'
'-x,y,z'
'-y,-x,-z'
'x,-y,z'
'y,x,-z'
loop_
_atom_site_label
_atom_site_fract_x
_atom_site_fract_y
_atom_site_fract_z
Pm1 0.000 0.500 0.245
Al1 0.000 0.000 0.000
Al2 0.000 0.500 0.642
Al3 0.500 0.500 0.000
Zn1 0.000 0.500 0.866
Zn2 0.500 0.500 0.500
Hg1 0.000 0.000 0.500

---

# 2
# PmZrAlHg PBE-GGA optimized geometry
# - calculated formation energy (eV/f.u.) = -1.0
# - M_tot (μB per formula unit) = 0.00
# - raw total energy (eV per atom) = -4.575
data_PmZrAlHg
_chemical_formula_sum 'Pm4 Zr4 Al4 Hg4'
_cell_length_a 7.224
_cell_length_b 7.224
_cell_length_c 7.224
_cell_angle_alpha 90.00
_cell_angle_beta 90.00
_cell_angle_gamma 90.00
_symmetry_space_group_name_H-M 'F -4 3 m'
_symmetry_Int_Tables_number 216
_symmetry_space_group_name_Hall 'F -4 2 3'
loop_
_atom_site_label
_atom_site_fract_x
_atom_site_fract_y
_atom_site_fract_z
Pm1 0.000 0.000 0.000
Zr1 0.000 0.000 0.500
Al1 0.250 0.250 0.750
Hg1 0.250 0.250 0.250

---

# 3
# PrAlHg2 PBE-GGA optimized geometry
# - calculated formation energy (eV/f.u.) = -1.5
# - M_tot (μB per formula unit) = 0.00
# - raw total energy (eV per atom) = -2.647
data_PrAlHg2
_chemical_formula_sum 'Pr8 Al8 Hg16'
_cell_length_a 4.615
_cell_length_b 17.590
_cell_length_c 9.631
_cell_angle_alpha 90.00
_cell_angle_beta 90.00
_cell_angle_gamma 90.00
_symmetry_space_group_name_H-M 'C m c m'
_symmetry_Int_Tables_number 63
_symmetry_space_group_name_Hall '-C 2c 2'
loop_
_atom_site_label
_atom_site_fract_x
_atom_site_fract_y
_atom_site_fract_z
Pr1 0.000 0.000 0.000
Pr2 0.000 0.204 0.250
Al1 0.000 0.355 0.523
Hg1 0.000 0.191 0.594
Hg2 0.000 0.405 0.250
Hg3 0.000 0.438 0.750

---

# 4
# Pr4AlHg PBE-GGA optimized geometry
# - calculated formation energy (eV/f.u.) = -0.3
# - M_tot (μB per formula unit) = 0.00
# - raw total energy (eV per atom) = -3.913
data_Pr4AlHg
_chemical_formula_sum 'Pr4 Al1 Hg1'
_cell_length_a 3.881
_cell_length_b 5.839
_cell_length_c 8.688
_cell_angle_alpha 90.00
_cell_angle_beta 90.00
_cell_angle_gamma 90.00
_symmetry_space_group_name_H-M 'P m m m'
_symmetry_Int_Tables_number 47
loop_
_symmetry_equiv_pos_as_xyz
'x,y,z'
'-x,-y,-z'
'-x,-y,z'
'x,y,-z'
'x,-y,-z'
'-x,y,z'
'-x,y,-z'
'x,-y,z'
loop_
_atom_site_label
_atom_site_fract_x
_atom_site_fract_y
_atom_site_fract_z
Pr1 0.000 0.000 0.207
Pr2 0.500 0.500 0.281
Al1 0.000 0.500 0.000
Hg1 0.500 0.000 0.500